[1]
Here is an optimized crystal structure of UAsRh2 from the Alexandria database. Energies are from GGA-PBE.

Excess energy over the best structure of this formula in the dataset   0.000 eV/atom
Fermi-level density of states   10.0 states/eV/cell
Electronic total energy   -8.239 eV per atom

a = 4.9410 Å, b = 4.9412 Å, c = 5.8268 Å
α = 90.00°, β = 90.06°, γ = 90.00°
Last column: nearest neighbours and their distance in Å.
Space group P2_1/m (No. 11)
Asymmetric unit:
U  0.2494  0.2500  0.2501  4 Rh 2.62, 2 As 2.91
As  0.2500  0.2500  0.7501  4 Rh 2.62, 2 U 2.91
Rh  0.2504  0.7500  0.4005  2 As 2.62, 2 U 2.62, 2 Rh 2.91
Rh  0.2505  0.7500  0.9006  2 U 2.62, 2 As 2.62, 2 Rh 2.91

[2]
Here is an optimized crystal structure of UAs12Rh4 from the Alexandria database. Energies are from GGA-PBE.

Fermi-level density of states   18.0 states/eV/cell
Electronic total energy   -6.078 eV per atom

a = 8.6560 Å, b = 8.6560 Å, c = 8.6560 Å
α = 90.00°, β = 90.00°, γ = 90.00°
Last column: nearest neighbours and their distance in Å.
Space group Im-3 (No. 204)
Asymmetric unit:
U  0.0000  0.0000  0.0000  12 As 3.20
As  0.0000  0.3401  0.1441  2 Rh 2.48, 2 As 2.49-2.77
Rh  0.2500  0.2500  0.2500  6 As 2.48

[3]
Here is an optimized crystal structure of UAsRh from the Alexandria database. Energies are from GGA-PBE.

Fermi-level density of states   25.8 states/eV/cell
Electronic total energy   -8.324 eV per atom

a = 6.3423 Å, b = 6.3423 Å, c = 6.3423 Å
α = 90.00°, β = 90.00°, γ = 90.00°
Last column: nearest neighbours and their distance in Å.
Space group F-43m (No. 216)
Asymmetric unit:
U  0.0000  0.0000  0.0000  4 Rh 2.75
As  0.0000  0.0000  0.5000  4 Rh 2.75
Rh  0.2500  0.2500  0.2500  4 As 2.75, 4 U 2.75

[4]
Here is an optimized crystal structure of UAs2Rh from the Alexandria database. Energies are from GGA-PBE.

Fermi-level density of states   9.7 states/eV/cell
Electronic total energy   -7.569 eV per atom

a = 4.0345 Å, b = 4.0345 Å, c = 16.4297 Å
α = 90.00°, β = 90.00°, γ = 120.00°
Last column: nearest neighbours and their distance in Å.
Space group R-3m (No. 166, hexagonal axes)
Asymmetric unit:
U  0.0000  0.0000  0.0000  6 As 2.84
As  0.0000  0.0000  0.2344  3 Rh 2.58, 3 U 2.84
Rh  0.0000  0.0000  0.5000  6 As 2.58

[5]
Here is an optimized crystal structure of U3As4Rh4 from the Alexandria database. Energies are from GGA-PBE.

Excess energy over the best structure of this formula in the dataset   0.000 eV/atom
Fermi-level density of states   32.8 states/eV/cell
Electronic total energy   -8.150 eV per atom

a = 4.1334 Å, b = 7.0579 Å, c = 13.6341 Å
α = 90.00°, β = 90.00°, γ = 90.00°
Last column: nearest neighbours and their distance in Å.
Space group Immm (No. 71)
Asymmetric unit:
U  0.0000  0.0000  0.0000  6 As 2.87-2.91
U  0.0000  0.5000  0.1172  6 As 3.03-3.10, 6 Rh 3.05-3.12, 1 U 3.20
As  0.0000  0.0000  0.2132  6 Rh 2.53-2.56
As  0.0000  0.2185  0.5000  2 Rh 2.52
Rh  0.0000  0.2944  0.3195  4 As 2.52-2.56

[6]
Here is an optimized crystal structure of U2AsRh8 from the Alexandria database. Energies are from GGA-PBE.

Fermi-level density of states   20.5 states/eV/cell
Electronic total energy   -8.316 eV per atom

a = 4.4966 Å, b = 5.8488 Å, c = 13.6604 Å
α = 90.00°, β = 90.00°, γ = 90.00°
Last column: nearest neighbours and their distance in Å.
Space group Immm (No. 71)
Asymmetric unit:
U  0.0000  0.0000  0.1778  12 Rh 2.71-2.95
As  0.0000  0.0000  0.5000  8 Rh 2.41-2.68
Rh  0.0000  0.2504  0.0000  2 As 2.68, 2 U 2.84, 8 Rh 2.92-2.97
Rh  0.0000  0.2594  0.3631  1 As 2.41
Rh  0.0000  0.5000  0.1894  8 Rh 2.76-2.97, 4 U 2.89-2.93

[7]
Here is an optimized crystal structure of UAsRh from the Alexandria database. Energies are from GGA-PBE.

Fermi-level density of states   32.7 states/eV/cell
Electronic total energy   -8.443 eV per atom

a = 6.9150 Å, b = 4.2721 Å, c = 11.3938 Å
α = 90.00°, β = 90.60°, γ = 90.00°
Last column: nearest neighbours and their distance in Å.
Space group P2_1/m (No. 11)
Asymmetric unit:
U  0.0051  0.2500  0.1269  5 Rh 2.81-3.12, 5 As 3.00-3.10
U  0.1729  0.7500  0.5661  5 As 2.92-3.05, 4 Rh 3.00-3.23
U  0.4825  0.7500  0.8027  5 As 2.88-2.96, 5 Rh 3.06-3.21
As  0.2052  0.2500  0.7404  3 Rh 2.50-2.57
As  0.2637  0.2500  0.3964  5 Rh 2.60-2.77, 1 U 2.88
As  0.3005  0.7500  0.0742  4 Rh 2.52-2.82
Rh  0.1554  0.7500  0.2830  4 As 2.50-2.60
Rh  0.2954  0.2500  0.9563  4 As 2.52-2.82, 1 U 2.81
Rh  0.4822  0.2500  0.5920  4 As 2.57-2.77, 1 Rh 2.87

[8]
Here is an optimized crystal structure of UAs4Rh6 from the Alexandria database. Energies are from GGA-PBE.

Fermi-level density of states   15.2 states/eV/cell
Electronic total energy   -7.268 eV per atom

a = 7.2594 Å, b = 7.2594 Å, c = 3.8549 Å
α = 90.00°, β = 90.00°, γ = 120.00°
Last column: nearest neighbours and their distance in Å.
Space group P-6m2 (No. 187)
Asymmetric unit:
U  0.0000  0.0000  0.0000  6 As 3.08, 6 Rh 3.13
As  0.3333  0.6667  0.0000  9 Rh 2.51-2.58
As  0.3812  0.1906  0.5000  6 Rh 2.43-2.60
Rh  0.1964  0.3927  0.5000  4 As 2.43-2.58
Rh  0.5326  0.0653  0.0000  5 As 2.51-2.60